1.
DFT (PBE) results for a relaxed structure of BaCdPt2.

POSCAR file:
```
BaCdPt2
1.0
3.5451 0.0000 0.0000
0.0000 3.5451 0.0000
0.0000 0.0000 7.3119
Ba Cd Pt
1 1 2
direct
0.0000 0.0000 0.0000
0.0000 0.0000 0.5000
0.5000 0.5000 0.3052
0.5000 0.5000 0.6948
```

Calculated values
DFT formation energy, meV per atom: -325
Total energy, eV per atom: -4.055
Symmetry: P4/mmm, No. 123
Size of the total moment, μB/f.u.: 0.0

=====

2.
DFT (PBE) results for a relaxed structure of AlV.

POSCAR file:
```
AlV
1.0
7.0142 0.0000 0.0000
-3.5071 6.0745 0.0000
0.0000 0.0000 4.4857
Al V
6 6
direct
0.0729 0.2638 0.2500
0.1909 0.9271 0.2500
0.2638 0.1909 0.7500
0.7362 0.8091 0.2500
0.8091 0.0729 0.7500
0.9271 0.7362 0.7500
0.1123 0.4947 0.7500
0.3824 0.8877 0.7500
0.4947 0.3824 0.2500
0.5053 0.6176 0.7500
0.6176 0.1123 0.2500
0.8877 0.5053 0.2500
```

Calculated values
DFT formation energy, meV per atom: 242
Total energy, eV per atom: -6.189
Symmetry: P6_3/m, No. 176
Size of the total moment, μB/f.u.: 0.0

=====

3.
DFT (PBE) results for a relaxed structure of Tb2DyPt.

POSCAR file:
```
Tb2DyPt
1.0
3.5906 0.0000 0.0000
0.0000 3.5906 0.0000
0.0000 0.0000 8.4100
Tb Dy Pt
2 1 1
direct
0.0000 0.0000 0.1959
0.0000 0.0000 0.8041
0.5000 0.5000 0.5000
0.5000 0.5000 0.0000
```

Calculated values
DFT formation energy, meV per atom: -569
Energy above the most stable polymorph in this dataset, meV/atom: 140
Total energy, eV per atom: -5.545
Symmetry: P4/mmm, No. 123
Size of the total moment, μB/f.u.: 0.0

=====

4.
DFT (PBE) results for a relaxed structure of LiNb2Cl.

POSCAR file:
```
LiNb2Cl
1.0
-1.8598 1.8598 11.1517
1.8598 -1.8598 11.1517
1.8598 1.8598 -11.1517
Li Nb Cl
2 4 2
direct
0.0000 0.0000 0.0000
0.7500 0.2500 0.5000
0.1217 0.6250 0.9967
0.3750 0.3717 0.4967
0.6283 0.1250 0.0033
0.8750 0.8783 0.5033
0.2500 0.7500 0.5000
0.5000 0.5000 0.0000
```

Calculated values
Energy above the most stable polymorph in this dataset, meV/atom: 0
Total energy, eV per atom: -5.696
Symmetry: I-42d, No. 122
Size of the total moment, μB/f.u.: 0.0